(1)
Material: Nd2MnGa2Pd5
Method: DFT, GGA-PBE
State: relaxed

DFT total energy = -113.50 eV for the cell shown
formation energy from the elements = -603 meV per atom

Structure (CIF):
```
data_Nd2MnGa2Pd5
_chemical_formula_sum 'Nd4 Mn2 Ga4 Pd10'
_symmetry_space_group_name_H-M 'P 1'
_symmetry_Int_Tables_number 1
_cell_length_a 3.649
_cell_length_b 10.109
_cell_length_c 10.109
_cell_angle_alpha 90.00
_cell_angle_beta 90.00
_cell_angle_gamma 90.00
loop_
_symmetry_equiv_pos_as_xyz
'x,y,z'
loop_
_atom_site_label
_atom_site_type_symbol
_atom_site_fract_x
_atom_site_fract_y
_atom_site_fract_z
Nd1 Nd 0.000 0.677 0.177
Nd2 Nd 0.000 0.323 0.823
Nd3 Nd 0.000 0.177 0.323
Nd4 Nd 0.000 0.823 0.677
Mn1 Mn 0.000 0.000 0.000
Mn2 Mn 0.000 0.500 0.500
Ga1 Ga 0.000 0.123 0.623
Ga2 Ga 0.000 0.877 0.377
Ga3 Ga 0.000 0.623 0.877
Ga4 Ga 0.000 0.377 0.123
Pd1 Pd 0.500 0.200 0.057
Pd2 Pd 0.500 0.800 0.943
Pd3 Pd 0.500 0.057 0.800
Pd4 Pd 0.500 0.700 0.443
Pd5 Pd 0.500 0.943 0.200
Pd6 Pd 0.500 0.300 0.557
Pd7 Pd 0.500 0.557 0.700
Pd8 Pd 0.500 0.443 0.300
Pd9 Pd 0.500 0.500 0.000
Pd10 Pd 0.500 0.000 0.500
```


(2)
Material: Sm4I5N
Method: DFT, GGA-PBE
State: relaxed

DFT total energy = -47.92 eV for the cell shown

Structure (CIF):
```
data_Sm4I5N
_chemical_formula_sum 'Sm4 I5 N1'
_symmetry_space_group_name_H-M 'P 1'
_symmetry_Int_Tables_number 1
_cell_length_a 4.007
_cell_length_b 8.726
_cell_length_c 9.838
_cell_angle_alpha 102.29
_cell_angle_beta 101.75
_cell_angle_gamma 90.00
loop_
_symmetry_equiv_pos_as_xyz
'x,y,z'
loop_
_atom_site_label
_atom_site_type_symbol
_atom_site_fract_x
_atom_site_fract_y
_atom_site_fract_z
Sm1 Sm 0.372 0.938 0.745
Sm2 Sm 0.001 0.810 0.002
Sm3 Sm 0.628 0.062 0.255
Sm4 Sm 0.999 0.190 0.998
I1 I 0.837 0.659 0.674
I2 I 0.832 0.181 0.665
I3 I 0.168 0.819 0.335
I4 I 0.500 0.500 0.000
I5 I 0.163 0.341 0.326
N1 N 0.500 0.000 0.000
```


(3)
Material: CePr4Se5
Method: DFT, GGA-PBE
State: relaxed

DFT total energy = -60.90 eV for the cell shown

Structure (CIF):
```
data_CePr4Se5
_chemical_formula_sum 'Ce1 Pr4 Se5'
_symmetry_space_group_name_H-M 'P 1'
_symmetry_Int_Tables_number 1
_cell_length_a 4.252
_cell_length_b 4.252
_cell_length_c 15.354
_cell_angle_alpha 97.96
_cell_angle_beta 97.96
_cell_angle_gamma 90.00
loop_
_symmetry_equiv_pos_as_xyz
'x,y,z'
loop_
_atom_site_label
_atom_site_type_symbol
_atom_site_fract_x
_atom_site_fract_y
_atom_site_fract_z
Ce1 Ce 0.000 0.000 0.000
Pr1 Pr 0.399 0.399 0.799
Pr2 Pr 0.803 0.803 0.606
Pr3 Pr 0.197 0.197 0.394
Pr4 Pr 0.601 0.601 0.201
Se1 Se 0.098 0.098 0.196
Se2 Se 0.500 0.500 0.000
Se3 Se 0.902 0.902 0.804
Se4 Se 0.298 0.298 0.597
Se5 Se 0.702 0.702 0.403
```


(4)
Material: BaSnRu3
Method: DFT, GGA-PBE
State: relaxed

DFT total energy = -28.18 eV for the cell shown
formation energy from the elements = 1115 meV per atom

Structure (CIF):
```
data_BaSnRu3
_chemical_formula_sum 'Ba1 Sn1 Ru3'
_symmetry_space_group_name_H-M 'P 1'
_symmetry_Int_Tables_number 1
_cell_length_a 5.017
_cell_length_b 5.017
_cell_length_c 5.017
_cell_angle_alpha 90.00
_cell_angle_beta 90.00
_cell_angle_gamma 90.00
loop_
_symmetry_equiv_pos_as_xyz
'x,y,z'
loop_
_atom_site_label
_atom_site_type_symbol
_atom_site_fract_x
_atom_site_fract_y
_atom_site_fract_z
Ru1 Ru 0.000 0.500 0.000
Ru2 Ru 0.000 0.000 0.500
Ru3 Ru 0.500 0.000 0.000
Ba1 Ba 0.500 0.500 0.500
Sn1 Sn 0.000 0.000 0.000
```


(5)
Material: CoRePb2
Method: DFT, GGA-PBE
State: relaxed

DFT total energy = -22.74 eV for the cell shown
formation energy from the elements = 1057 meV per atom

Structure (CIF):
```
data_CoRePb2
_chemical_formula_sum 'Co1 Re1 Pb2'
_symmetry_space_group_name_H-M 'P 1'
_symmetry_Int_Tables_number 1
_cell_length_a 5.168
_cell_length_b 5.168
_cell_length_c 5.168
_cell_angle_alpha 139.41
_cell_angle_beta 120.31
_cell_angle_gamma 74.69
loop_
_symmetry_equiv_pos_as_xyz
'x,y,z'
loop_
_atom_site_label
_atom_site_type_symbol
_atom_site_fract_x
_atom_site_fract_y
_atom_site_fract_z
Co1 Co 0.250 0.750 0.500
Pb1 Pb 0.020 0.020 0.000
Pb2 Pb 0.480 0.480 0.000
Re1 Re 0.750 0.250 0.500
```


(6)
Material: Si2BAsOs
Method: DFT, GGA-PBE
State: relaxed

DFT total energy = -28.52 eV for the cell shown

Structure (CIF):
```
data_Si2BAsOs
_chemical_formula_sum 'Si2 B1 As1 Os1'
_symmetry_space_group_name_H-M 'P 1'
_symmetry_Int_Tables_number 1
_cell_length_a 3.923
_cell_length_b 4.505
_cell_length_c 3.923
_cell_angle_alpha 90.00
_cell_angle_beta 90.00
_cell_angle_gamma 90.00
loop_
_symmetry_equiv_pos_as_xyz
'x,y,z'
loop_
_atom_site_label
_atom_site_type_symbol
_atom_site_fract_x
_atom_site_fract_y
_atom_site_fract_z
As1 As 0.000 0.500 0.000
B1 B 0.000 0.000 0.000
Os1 Os 0.500 0.500 0.500
Si1 Si 0.000 0.000 0.500
Si2 Si 0.500 0.000 0.000
```


(7)
Material: PrTm5Tl4
Method: DFT, GGA-PBE
State: relaxed

DFT total energy = -39.02 eV for the cell shown
formation energy from the elements = -242 meV per atom

Structure (CIF):
```
data_PrTm5Tl4
_chemical_formula_sum 'Pr1 Tm5 Tl4'
_symmetry_space_group_name_H-M 'P 1'
_symmetry_Int_Tables_number 1
_cell_length_a 3.581
_cell_length_b 3.581
_cell_length_c 21.746
_cell_angle_alpha 90.00
_cell_angle_beta 90.00
_cell_angle_gamma 90.00
loop_
_symmetry_equiv_pos_as_xyz
'x,y,z'
loop_
_atom_site_label
_atom_site_type_symbol
_atom_site_fract_x
_atom_site_fract_y
_atom_site_fract_z
Pr1 Pr 0.000 0.000 0.000
Tm1 Tm 0.500 0.500 0.118
Tm2 Tm 0.500 0.500 0.308
Tm3 Tm 0.500 0.500 0.500
Tm4 Tm 0.500 0.500 0.692
Tm5 Tm 0.500 0.500 0.882
Tl1 Tl 0.000 0.000 0.213
Tl2 Tl 0.000 0.000 0.404
Tl3 Tl 0.000 0.000 0.596
Tl4 Tl 0.000 0.000 0.787
```


(8)
Material: LiAs2Pb2O6
Method: DFT, GGA-PBE
State: relaxed

DFT total energy = -61.63 eV for the cell shown

Structure (CIF):
```
data_LiAs2Pb2O6
_chemical_formula_sum 'Li1 As2 Pb2 O6'
_symmetry_space_group_name_H-M 'P 1'
_symmetry_Int_Tables_number 1
_cell_length_a 5.948
_cell_length_b 5.627
_cell_length_c 7.137
_cell_angle_alpha 112.91
_cell_angle_beta 90.00
_cell_angle_gamma 121.90
loop_
_symmetry_equiv_pos_as_xyz
'x,y,z'
loop_
_atom_site_label
_atom_site_type_symbol
_atom_site_fract_x
_atom_site_fract_y
_atom_site_fract_z
Li1 Li 0.500 0.000 0.500
As1 As 0.951 0.902 0.774
As2 As 0.049 0.098 0.226
Pb1 Pb 0.720 0.439 0.210
Pb2 Pb 0.280 0.561 0.790
O1 O 0.763 0.525 0.556
O2 O 0.164 0.874 0.251
O3 O 0.289 0.126 0.749
O4 O 0.836 0.126 0.749
O5 O 0.711 0.874 0.251
O6 O 0.237 0.475 0.444
```


(9)
Material: CaAc2Tl4
Method: DFT, GGA-PBE
State: relaxed

DFT total energy = -19.41 eV for the cell shown
formation energy from the elements = 40 meV per atom

Structure (CIF):
```
data_CaAc2Tl4
_chemical_formula_sum 'Ca1 Ac2 Tl4'
_symmetry_space_group_name_H-M 'P 1'
_symmetry_Int_Tables_number 1
_cell_length_a 5.649
_cell_length_b 5.649
_cell_length_c 9.482
_cell_angle_alpha 107.33
_cell_angle_beta 107.33
_cell_angle_gamma 90.00
loop_
_symmetry_equiv_pos_as_xyz
'x,y,z'
loop_
_atom_site_label
_atom_site_type_symbol
_atom_site_fract_x
_atom_site_fract_y
_atom_site_fract_z
Ca1 Ca 0.000 0.000 0.000
Ac1 Ac 0.624 0.624 0.248
Ac2 Ac 0.376 0.376 0.752
Tl1 Tl 0.820 0.820 0.640
Tl2 Tl 0.180 0.180 0.360
Tl3 Tl 0.000 0.500 0.000
Tl4 Tl 0.500 0.000 0.000
```


(10)
Material: B3PN
Method: DFT, GGA-PBE
State: relaxed

DFT total energy = -22.57 eV for the cell shown

Structure (CIF):
```
data_B3PN
_chemical_formula_sum 'B3 P1 N1'
_symmetry_space_group_name_H-M 'P 1'
_symmetry_Int_Tables_number 1
_cell_length_a 3.784
_cell_length_b 3.784
_cell_length_c 3.784
_cell_angle_alpha 90.00
_cell_angle_beta 90.00
_cell_angle_gamma 90.00
loop_
_symmetry_equiv_pos_as_xyz
'x,y,z'
loop_
_atom_site_label
_atom_site_type_symbol
_atom_site_fract_x
_atom_site_fract_y
_atom_site_fract_z
P1 P 0.000 0.000 0.000
B1 B 0.000 0.500 0.000
B2 B 0.000 0.000 0.500
B3 B 0.500 0.000 0.000
N1 N 0.500 0.500 0.500
```


(11)
Material: Si2NiHg
Method: DFT, GGA-PBE
State: relaxed

DFT total energy = -32.34 eV for the cell shown

Structure (CIF):
```
data_Si2NiHg
_chemical_formula_sum 'Si4 Ni2 Hg2'
_symmetry_space_group_name_H-M 'P 1'
_symmetry_Int_Tables_number 1
_cell_length_a 4.249
_cell_length_b 4.249
_cell_length_c 8.288
_cell_angle_alpha 75.15
_cell_angle_beta 75.15
_cell_angle_gamma 90.00
loop_
_symmetry_equiv_pos_as_xyz
'x,y,z'
loop_
_atom_site_label
_atom_site_type_symbol
_atom_site_fract_x
_atom_site_fract_y
_atom_site_fract_z
Ni1 Ni 0.500 0.500 0.000
Ni2 Ni 0.250 0.750 0.500
Si1 Si 0.534 0.125 0.250
Si2 Si 0.216 0.625 0.250
Si3 Si 0.375 0.466 0.750
Si4 Si 0.875 0.784 0.750
Hg1 Hg 0.000 0.000 0.000
Hg2 Hg 0.750 0.250 0.500
```


(12)
Material: Mg2TeAu
Method: DFT, GGA-PBE
State: relaxed

DFT total energy = -11.77 eV for the cell shown

Structure (CIF):
```
data_Mg2TeAu
_chemical_formula_sum 'Mg2 Te1 Au1'
_symmetry_space_group_name_H-M 'P 1'
_symmetry_Int_Tables_number 1
_cell_length_a 4.225
_cell_length_b 4.225
_cell_length_c 6.687
_cell_angle_alpha 72.35
_cell_angle_beta 72.35
_cell_angle_gamma 59.01
loop_
_symmetry_equiv_pos_as_xyz
'x,y,z'
loop_
_atom_site_label
_atom_site_type_symbol
_atom_site_fract_x
_atom_site_fract_y
_atom_site_fract_z
Au1 Au 0.250 0.250 0.250
Mg1 Mg 0.992 0.992 0.027
Mg2 Mg 0.508 0.508 0.473
Te1 Te 0.750 0.750 0.750
```


Q: Among the records above, which one has the lowest DFT total energy?
A: Nd2MnGa2Pd5


Q: What is the formula in the eighth record?
A: LiAs2Pb2O6


Q: What is the DFT total energy in the second record?
A: -47.92 eV for the cell shown